PBE-GGA MgCd2Cl, relaxed; E above lowest polymorph = 0.31 eV per formula unit; M_tot = 0.00 μB per formula unit; raw formation energy = -0.39 eV per atom
1.0
-3.521 4.653 2.100
-4.749 1.421 -3.726
2.845 -3.996 3.795
Cd Cl Mg
2 1 1
Cartesian
-2.486 1.906 2.525 Cd
-0.214 0.158 -0.042 Cd
-3.681 2.703 -0.723 Cl
-3.180 0.349 -0.404 Mg